Record 1
Compound: YEr3TmSc
Source: Alexandria via LeMat-Bulk
Functional: GGA-PBE
Structure: relaxed

a = 10.4096 Å, b = 3.4745 Å, c = 10.4307 Å
α = 90.00°, β = 109.28°, γ = 90.00°
Closest atoms and distances in Å follow each position.
Positions (direct):
1 Y 0.2041 0.2500 0.3804  3 Sc 3.38-3.41, 2 Y 3.47, 7 Er 3.48-3.55
2 Y 0.7959 0.7500 0.6196  3 Sc 3.38-3.41, 2 Y 3.47, 7 Er 3.48-3.55
3 Er 0.0440 0.2500 0.8721  1 Tm 3.41, 2 Sc 3.43, 7 Er 3.47-3.55, 2 Y 3.48
4 Er 0.2919 0.7500 0.1242  7 Er 3.47-3.51, 3 Tm 3.48-3.49, 2 Y 3.55
5 Er 0.4572 0.7500 0.6265  2 Tm 3.44, 6 Er 3.47-3.51, 3 Y 3.48-3.55, 1 Sc 3.48
6 Er 0.5428 0.2500 0.3735  2 Tm 3.44, 6 Er 3.47-3.51, 3 Y 3.48-3.55, 1 Sc 3.48
7 Er 0.7081 0.2500 0.8758  7 Er 3.47-3.51, 3 Tm 3.48-3.49, 2 Y 3.55
8 Er 0.9560 0.7500 0.1279  1 Tm 3.41, 2 Sc 3.43, 7 Er 3.47-3.55, 2 Y 3.48
9 Tm 0.3718 0.2500 0.8719  6 Er 3.41-3.49, 2 Sc 3.47, 4 Tm 3.47-3.55
10 Tm 0.6282 0.7500 0.1281  6 Er 3.41-3.49, 2 Sc 3.47, 4 Tm 3.47-3.55
11 Sc 0.1215 0.7500 0.6236  3 Y 3.38-3.41, 4 Sc 3.43-3.47, 3 Er 3.43-3.48, 2 Tm 3.47
12 Sc 0.8785 0.2500 0.3764  3 Y 3.38-3.41, 4 Sc 3.43-3.47, 3 Er 3.43-3.48, 2 Tm 3.47

Summary:
mass density: 7.5 g/cm³
space group: P2_1/m
total moment: 0.001 Bohr magnetons per cell
formation energy from the elements: 0.04 eV/atom

=====

Record 2
Compound: BaPrPd2
Source: Alexandria via LeMat-Bulk
Functional: GGA-PBE
Structure: relaxed

a = 5.3192 Å, b = 5.3192 Å, c = 5.3192 Å
α = 60.00°, β = 60.00°, γ = 60.00°
Closest atoms and distances in Å follow each position.
Positions (direct):
1 Ba 0.0000 0.0000 0.0000  8 Pd 3.26
2 Pr 0.5000 0.5000 0.5000  8 Pd 3.26
3 Pd 0.2500 0.2500 0.2500  4 Pr 3.26, 4 Ba 3.26
4 Pd 0.7500 0.7500 0.7500  4 Pr 3.26, 4 Ba 3.26

Summary:
mass density: 7.7 g/cm³
space group: Fm-3m
total moment: 0.000 Bohr magnetons per cell
distance to the lowest polymorph of the same formula: 120 meV per atom
formation energy from the elements: -0.51 eV/atom

=====

Record 3
Compound: K3Mg2Cd9
Source: Alexandria via LeMat-Bulk
Functional: GGA-PBE
Structure: relaxed

a = 9.4896 Å, b = 9.4896 Å, c = 9.4896 Å
α = 148.96°, β = 113.43°, γ = 75.26°
Closest atoms and distances in Å follow each position.
Positions (direct):
1 K 0.0000 0.0000 0.0000  12 Cd 3.61-3.87
2 K 0.2898 0.2898 0.0000  12 Cd 3.52-3.85, 2 Mg 3.64
3 K 0.7102 0.7102 0.0000  12 Cd 3.52-3.85, 2 Mg 3.64
4 Mg 0.3264 0.5000 0.8264  8 Cd 3.09-3.24
5 Mg 0.6736 0.5000 0.1736  8 Cd 3.09-3.24
6 Cd 0.0164 0.6649 0.3515  4 Cd 2.98-3.13, 1 Mg 3.09
7 Cd 0.1586 0.8688 0.2899  4 Cd 2.95-3.13, 2 Mg 3.24
8 Cd 0.3134 0.6649 0.6485  4 Cd 2.98-3.13, 1 Mg 3.09
9 Cd 0.4211 0.1312 0.2899  4 Cd 2.95-3.13, 2 Mg 3.24
10 Cd 0.5000 0.0000 0.5000  4 Cd 2.95, 4 Mg 3.12
11 Cd 0.5789 0.8688 0.7101  4 Cd 2.95-3.13, 2 Mg 3.24
12 Cd 0.6866 0.3351 0.3515  4 Cd 2.98-3.13, 1 Mg 3.09
13 Cd 0.8414 0.1312 0.7101  4 Cd 2.95-3.13, 2 Mg 3.24
14 Cd 0.9836 0.3351 0.6485  4 Cd 2.98-3.13, 1 Mg 3.09

Summary:
mass density: 4.9 g/cm³
space group: Immm
total moment: 0.000 Bohr magnetons per cell
formation energy from the elements: -0.08 eV/atom

=====

Record 4
Compound: MgIn4Hg
Source: Alexandria via LeMat-Bulk
Functional: GGA-PBE
Structure: relaxed

a = 4.7235 Å, b = 4.7235 Å, c = 7.5903 Å
α = 90.00°, β = 90.00°, γ = 90.00°
Closest atoms and distances in Å follow each position.
Positions (direct):
1 Mg 0.0000 0.0000 0.0000  8 In 3.02
2 In 0.0000 0.5000 0.2488  2 Mg 3.02, 2 Hg 3.04, 4 In 3.34
3 In 0.0000 0.5000 0.7512  2 Mg 3.02, 2 Hg 3.04, 4 In 3.34
4 In 0.5000 0.0000 0.2488  2 Mg 3.02, 2 Hg 3.04, 4 In 3.34
5 In 0.5000 0.0000 0.7512  2 Mg 3.02, 2 Hg 3.04, 4 In 3.34
6 Hg 0.5000 0.5000 0.5000  8 In 3.04

Summary:
mass density: 6.7 g/cm³
space group: P4/mmm
total moment: 0.000 Bohr magnetons per cell
distance to the lowest polymorph of the same formula: 66 meV per atom
formation energy from the elements: 0.04 eV/atom

=====

Record 5
Compound: YCuRe2
Source: Alexandria via LeMat-Bulk
Functional: GGA-PBE
Structure: relaxed

a = 3.0077 Å, b = 4.2899 Å, c = 5.5075 Å
α = 90.00°, β = 101.71°, γ = 90.00°
Closest atoms and distances in Å follow each position.
Positions (direct):
1 Y 0.0000 0.0000 0.0000  2 Re 2.75-3.02, 4 Cu 2.84, 2 Y 3.01
2 Cu 0.5765 0.5000 0.2051  4 Re 2.67-2.83, 4 Y 2.84
3 Re 0.2846 0.5000 0.6310  2 Re 2.55, 2 Cu 2.67-2.83
4 Re 0.6336 0.0000 0.5010  2 Re 2.55, 2 Cu 2.68, 1 Y 2.75

Summary:
mass density: 12.5 g/cm³
space group: Pm
total moment: 0.000 Bohr magnetons per cell
distance to the lowest polymorph of the same formula: 141 meV per atom
formation energy from the elements: 0.22 eV/atom

=====

Record 6
Compound: Pr5Ni
Source: Alexandria via LeMat-Bulk
Functional: GGA-PBE
Structure: relaxed

a = 3.7707 Å, b = 10.5341 Å, c = 9.8136 Å
α = 90.00°, β = 101.02°, γ = 90.00°
Closest atoms and distances in Å follow each position.
Positions (direct):
1 Pr 0.0000 0.0000 0.0000  8 Pr 3.47-3.77
2 Pr 0.0000 0.5000 0.0000  8 Pr 3.47-3.77
3 Pr 0.1858 0.0669 0.3708  2 Ni 2.93
4 Pr 0.1858 0.4331 0.3708  2 Ni 2.93
5 Pr 0.3622 0.2500 0.7271  2 Ni 2.97
6 Pr 0.4348 0.7500 0.8707  1 Ni 3.47, 11 Pr 3.47-3.87
7 Pr 0.5652 0.2500 0.1293  1 Ni 3.47, 11 Pr 3.47-3.87
8 Pr 0.6378 0.7500 0.2729  2 Ni 2.97
9 Pr 0.8142 0.5669 0.6292  2 Ni 2.93
10 Pr 0.8142 0.9331 0.6292  2 Ni 2.93
11 Ni 0.2559 0.7500 0.5106  6 Pr 2.93-2.97
12 Ni 0.7441 0.2500 0.4894  6 Pr 2.93-2.97

Summary:
mass density: 6.6 g/cm³
space group: P2_1/m
total moment: 0.000 Bohr magnetons per cell
formation energy from the elements: -0.02 eV/atom

=====

Record 7
Compound: Sr3AsH
Source: Alexandria via LeMat-Bulk
Functional: GGA-PBE
Structure: relaxed

a = 8.1715 Å, b = 4.1231 Å, c = 9.8911 Å
α = 90.00°, β = 102.37°, γ = 90.00°
Closest atoms and distances in Å follow each position.
Positions (direct):
1 Sr 0.0546 0.2500 0.3317  3 H 2.50-2.78
2 Sr 0.2702 0.2500 0.0332  2 As 3.28
3 Sr 0.3907 0.7500 0.6325  2 H 2.90, 3 As 3.08-3.25
4 Sr 0.6093 0.2500 0.3675  2 H 2.90, 3 As 3.08-3.25
5 Sr 0.7298 0.7500 0.9668  2 As 3.28
6 Sr 0.9454 0.7500 0.6683  3 H 2.50-2.78
7 As 0.3232 0.7500 0.2965  7 Sr 3.08-3.28
8 As 0.6768 0.2500 0.7035  7 Sr 3.08-3.28
9 H 0.1346 0.2500 0.5907  3 Sr 2.50-2.78
10 H 0.8654 0.7500 0.4093  3 Sr 2.50-2.78

Summary:
mass density: 3.5 g/cm³
space group: P2_1/m
total moment: 0.000 Bohr magnetons per cell
distance to the lowest polymorph of the same formula: 0 meV per atom

=====

Record 8
Compound: Li2In2Rh
Source: Alexandria via LeMat-Bulk
Functional: GGA-PBE
Structure: relaxed

a = 7.0282 Å, b = 7.0282 Å, c = 3.2629 Å
α = 90.00°, β = 90.00°, γ = 90.00°
Closest atoms and distances in Å follow each position.
Positions (direct):
1 Li 0.1274 0.3726 0.0000  1 Li 2.53, 6 In 2.57-2.69, 2 Rh 2.77
2 Li 0.3726 0.8726 0.0000  1 Li 2.53, 6 In 2.57-2.69, 2 Rh 2.77
3 Li 0.6274 0.1274 0.0000  1 Li 2.53, 6 In 2.57-2.69, 2 Rh 2.77
4 Li 0.8726 0.6274 0.0000  1 Li 2.53, 6 In 2.57-2.69, 2 Rh 2.77
5 In 0.1733 0.6733 0.5000  6 Li 2.57-2.69
6 In 0.3267 0.1733 0.5000  6 Li 2.57-2.69
7 In 0.6733 0.8267 0.5000  6 Li 2.57-2.69
8 In 0.8267 0.3267 0.5000  6 Li 2.57-2.69
9 Rh 0.0000 0.0000 0.0000  4 Li 2.77, 8 In 3.07
10 Rh 0.5000 0.5000 0.0000  4 Li 2.77, 8 In 3.07

Summary:
mass density: 7.1 g/cm³
space group: P4/mbm
total moment: 0.000 Bohr magnetons per cell
distance to the lowest polymorph of the same formula: 132 meV per atom
formation energy from the elements: -0.12 eV/atom

=====

Record 9
Compound: KAl4Tl
Source: Alexandria via LeMat-Bulk
Functional: GGA-PBE
Structure: relaxed

a = 5.8373 Å, b = 5.8373 Å, c = 5.8373 Å
α = 60.00°, β = 60.00°, γ = 60.00°
Closest atoms and distances in Å follow each position.
Positions (direct):
1 K 0.0000 0.0000 0.0000  12 Al 3.42, 4 Tl 3.57
2 Al 0.3744 0.3744 0.3744  6 Al 2.90-2.93
3 Al 0.3744 0.3744 0.8769  6 Al 2.90-2.93
4 Al 0.3744 0.8769 0.3744  6 Al 2.90-2.93
5 Al 0.8769 0.3744 0.3744  6 Al 2.90-2.93
6 Tl 0.7500 0.7500 0.7500  12 Al 3.42, 4 K 3.57

Summary:
mass density: 4.1 g/cm³
space group: F-43m
total moment: 0.000 Bohr magnetons per cell
formation energy from the elements: 0.20 eV/atom

=====

Record 10
Compound: NbCuPdPb2
Source: Alexandria via LeMat-Bulk
Functional: GGA-PBE
Structure: relaxed

a = 5.1274 Å, b = 5.1274 Å, c = 4.7918 Å
α = 90.00°, β = 90.00°, γ = 90.00°
Closest atoms and distances in Å follow each position.
Positions (direct):
1 Nb 0.0000 0.0000 0.0000  8 Pb 3.51, 4 Pd 3.63
2 Cu 0.5000 0.5000 0.5000  2 Pd 2.40, 4 Pb 2.56
3 Pd 0.5000 0.5000 0.0000  2 Cu 2.40
4 Pb 0.0000 0.5000 0.5000  2 Cu 2.56
5 Pb 0.5000 0.0000 0.5000  2 Cu 2.56

Summary:
mass density: 8.9 g/cm³
space group: P4/mmm
total moment: 0.022 Bohr magnetons per cell
formation energy from the elements: 0.91 eV/atom

=====

Record 11
Compound: AlZn2In2
Source: Alexandria via LeMat-Bulk
Functional: GGA-PBE
Structure: relaxed

a = 8.1165 Å, b = 8.1165 Å, c = 3.3171 Å
α = 90.00°, β = 90.00°, γ = 90.00°
Closest atoms and distances in Å follow each position.
Positions (direct):
1 Al 0.0000 0.0000 0.0000  4 In 2.96, 2 Al 3.32
2 Al 0.5000 0.5000 0.0000  4 In 2.96, 2 Al 3.32
3 Zn 0.1149 0.3851 0.5000  1 Zn 2.64, 2 In 2.83
4 Zn 0.3851 0.8851 0.5000  1 Zn 2.64, 2 In 2.83
5 Zn 0.6149 0.1149 0.5000  1 Zn 2.64, 2 In 2.83
6 Zn 0.8851 0.6149 0.5000  1 Zn 2.64, 2 In 2.83
7 In 0.1851 0.6851 0.0000  6 Zn 2.83-3.00, 2 Al 2.96
8 In 0.3149 0.1851 0.0000  6 Zn 2.83-3.00, 2 Al 2.96
9 In 0.6851 0.8149 0.0000  6 Zn 2.83-3.00, 2 Al 2.96
10 In 0.8149 0.3149 0.0000  6 Zn 2.83-3.00, 2 Al 2.96

Summary:
mass density: 5.9 g/cm³
space group: P4/mbm
total moment: 0.000 Bohr magnetons per cell
distance to the lowest polymorph of the same formula: 104 meV per atom
formation energy from the elements: 0.23 eV/atom